Entry 1:
Material: ZrAgSe2O8
Method: DFT, PBE
State: optimized geometry

Calculated values
V = 16.137 Å³/atom
Symmetry = No. 147
E_form (uncorrected) = -1.0578 eV per atom
Final energy = -70.73 eV per cell

The structure in CIF format:
```
data_ZrAgSe2O8
_cell_length_a 5.780
_cell_length_b 5.780
_cell_length_c 6.694
_cell_angle_alpha 90.00
_cell_angle_beta 90.00
_cell_angle_gamma 120.00
_space_group_name_H-M_alt 'P 1'
_space_group_IT_number 1
_space_group_name_Hall 'P 1'
loop_
_atom_site_label
_atom_site_fract_x
_atom_site_fract_y
_atom_site_fract_z
_atom_site_occupancy
Zr1 0.000 0.000 0.000 1
Ag1 0.000 0.000 0.500 1
Se1 0.333 0.667 0.274 1
Se2 0.667 0.333 0.726 1
O1 0.163 0.330 0.196 1
O2 0.167 0.837 0.196 1
O3 0.330 0.167 0.804 1
O4 0.333 0.667 0.518 1
O5 0.667 0.333 0.482 1
O6 0.670 0.833 0.196 1
O7 0.833 0.163 0.804 1
O8 0.837 0.670 0.804 1
```

=====

Entry 2:
Material: SiAgO
Method: DFT, PBE
State: optimized geometry

Calculated values
V = 16.206 Å³/atom
Energy above the most stable polymorph in this dataset = 0.0 meV/atom
Symmetry = No. 2
E_form (uncorrected) = -0.8251 eV per atom
Final energy = -31.42 eV per cell

The structure in CIF format:
```
data_SiAgO
_cell_length_a 2.890
_cell_length_b 5.235
_cell_length_c 6.842
_cell_angle_alpha 92.98
_cell_angle_beta 102.10
_cell_angle_gamma 104.86
_space_group_name_H-M_alt 'P 1'
_space_group_IT_number 1
_space_group_name_Hall 'P 1'
loop_
_atom_site_label
_atom_site_fract_x
_atom_site_fract_y
_atom_site_fract_z
_atom_site_occupancy
Si1 0.132 0.447 0.313 1
Si2 0.868 0.553 0.687 1
Ag1 0.178 0.785 0.060 1
Ag2 0.822 0.215 0.940 1
O1 0.366 0.676 0.569 1
O2 0.634 0.324 0.431 1
```

=====

Entry 3:
Material: SiAg5O4
Method: DFT, PBE
State: optimized geometry

Calculated values
V = 14.843 Å³/atom
Symmetry = No. 58
E_form (uncorrected) = -0.8498 eV per atom
Final energy = -192.04 eV per cell

The structure in CIF format:
```
data_SiAg5O4
_cell_length_a 9.081
_cell_length_b 10.247
_cell_length_c 6.380
_cell_angle_alpha 90.00
_cell_angle_beta 90.00
_cell_angle_gamma 90.00
_space_group_name_H-M_alt 'P 1'
_space_group_IT_number 1
_space_group_name_Hall 'P 1'
loop_
_atom_site_label
_atom_site_fract_x
_atom_site_fract_y
_atom_site_fract_z
_atom_site_occupancy
Si1 0.236 0.120 0.000 1
Si2 0.264 0.620 0.500 1
Si3 0.736 0.380 0.500 1
Si4 0.764 0.880 0.000 1
Ag1 0.065 0.379 0.221 1
Ag2 0.065 0.379 0.779 1
Ag3 0.110 0.877 0.264 1
Ag4 0.110 0.877 0.736 1
Ag5 0.210 0.587 0.000 1
Ag6 0.290 0.087 0.500 1
Ag7 0.390 0.377 0.236 1
Ag8 0.390 0.377 0.764 1
Ag9 0.435 0.879 0.279 1
Ag10 0.435 0.879 0.721 1
Ag11 0.565 0.121 0.279 1
Ag12 0.565 0.121 0.721 1
Ag13 0.610 0.623 0.236 1
Ag14 0.610 0.623 0.764 1
Ag15 0.710 0.913 0.500 1
Ag16 0.790 0.413 0.000 1
Ag17 0.890 0.123 0.264 1
Ag18 0.890 0.123 0.736 1
Ag19 0.935 0.621 0.221 1
Ag20 0.935 0.621 0.779 1
O1 0.101 0.697 0.500 1
O2 0.146 0.160 0.217 1
O3 0.146 0.160 0.783 1
O4 0.240 0.458 0.500 1
O5 0.260 0.958 0.000 1
O6 0.354 0.660 0.283 1
O7 0.354 0.660 0.717 1
O8 0.399 0.197 0.000 1
O9 0.601 0.803 0.000 1
O10 0.646 0.340 0.283 1
O11 0.646 0.340 0.717 1
O12 0.740 0.042 0.000 1
O13 0.760 0.542 0.500 1
O14 0.854 0.840 0.217 1
O15 0.854 0.840 0.783 1
O16 0.899 0.303 0.500 1
```

=====

Entry 4:
Material: SiAgO3
Method: DFT, PBE
State: optimized geometry

Calculated values
V = 9.241 Å³/atom
Symmetry = No. 221
E_form (uncorrected) = -1.2358 eV per atom
Final energy = -29.33 eV per cell

The structure in CIF format:
```
data_SiAgO3
_cell_length_a 3.588
_cell_length_b 3.588
_cell_length_c 3.588
_cell_angle_alpha 90.00
_cell_angle_beta 90.00
_cell_angle_gamma 90.00
_space_group_name_H-M_alt 'P 1'
_space_group_IT_number 1
_space_group_name_Hall 'P 1'
loop_
_atom_site_label
_atom_site_fract_x
_atom_site_fract_y
_atom_site_fract_z
_atom_site_occupancy
Si1 0.000 0.000 0.000 1
Ag1 0.500 0.500 0.500 1
O1 0.000 0.000 0.500 1
O2 0.000 0.500 0.000 1
O3 0.500 0.000 0.000 1
```

=====

Entry 5:
Material: SiAgO3
Method: DFT, PBE
State: optimized geometry

Calculated values
V = 12.472 Å³/atom
Symmetry = No. 221
E_form (uncorrected) = 0.4776 eV per atom
Final energy = -20.76 eV per cell

The structure in CIF format:
```
data_SiAgO3
_cell_length_a 3.966
_cell_length_b 3.966
_cell_length_c 3.966
_cell_angle_alpha 90.00
_cell_angle_beta 90.00
_cell_angle_gamma 90.00
_space_group_name_H-M_alt 'P 1'
_space_group_IT_number 1
_space_group_name_Hall 'P 1'
loop_
_atom_site_label
_atom_site_fract_x
_atom_site_fract_y
_atom_site_fract_z
_atom_site_occupancy
Si1 0.000 0.000 0.000 1
Ag1 0.500 0.500 0.500 1
O1 0.000 0.500 0.500 1
O2 0.500 0.000 0.500 1
O3 0.500 0.500 0.000 1
```

=====

Entry 6:
Material: SiAgO
Method: DFT, PBE
State: optimized geometry

Calculated values
V = 16.529 Å³/atom
Energy above the most stable polymorph in this dataset = 197.7 meV/atom
Symmetry = No. 156
E_form (uncorrected) = -0.6274 eV per atom
Final energy = -15.11 eV per cell

The structure in CIF format:
```
data_SiAgO
_cell_length_a 2.821
_cell_length_b 2.821
_cell_length_c 7.197
_cell_angle_alpha 90.00
_cell_angle_beta 90.00
_cell_angle_gamma 120.00
_space_group_name_H-M_alt 'P 1'
_space_group_IT_number 1
_space_group_name_Hall 'P 1'
loop_
_atom_site_label
_atom_site_fract_x
_atom_site_fract_y
_atom_site_fract_z
_atom_site_occupancy
Si1 0.000 0.000 0.000 1
Ag1 0.333 0.667 0.692 1
O1 0.667 0.333 0.129 1
```